A plane-wave DFT calculation with PBE was carried out for LaTaGe after structural relaxation.

Cell lengths 4.638, 4.638, 4.638 Å; angles 60.00, 60.00, 60.00 degrees
Fractional positions:
Ge (0.250, 0.250, 0.250)
La (0.750, 0.750, 0.750)
Ta (0.000, 0.000, 0.000)

Results
Total moment in μB/cell: 0.06
Space-group type: No. 216
Total energy in eV/atom: -6.580
Crystal system: cubic